The following is a DFT calculation (PBE-GGA) of crystalline Ca2CrP2 at its relaxed geometry.

## Properties
- calculated total energy (eV per cell) = -55.13
- magnetic moment (μB/f.u.) = 2.2

a b c (Å): 6.639 6.639 4.377
angles (deg): 90.00 90.00 90.00
Space group P4/mbm (No. 127)
Asymmetric unit:
Ca1 0.168 0.332 0.000 x4
Cr1 0.000 0.000 0.500 x2
P1 0.144 0.644 0.500 x4